Record 1
NbV5Cr6 after structural relaxation, computed with PBE.

Cell and atoms, written as POSCAR:
```
NbV5Cr6
1.0
4.0078 0.0171 -1.1697
-0.8107 5.1908 -2.7030
-0.0724 0.3801 7.2090
V Cr Nb
5 6 1
Direct
0.6670 0.6670 0.3340 V
0.6701 0.1701 0.3403 V
0.0000 0.5000 0.0000 V
0.3299 0.8299 0.6597 V
0.3330 0.3330 0.6660 V
0.1701 0.4239 0.3401 Cr
0.8299 0.5761 0.6599 Cr
0.5000 0.2578 0.0000 Cr
0.1700 0.9162 0.3401 Cr
0.8300 0.0838 0.6599 Cr
0.5000 0.7422 0.0000 Cr
0.0000 0.0000 0.0000 Nb
```

Output
Fermi-level density of states (states/eV per cell): 14.41
Calculated formation energy (meV per atom): -43.6
Uncorrected energy (Ry per atom): -0.698

Record 2
K3AlSn after structural relaxation, computed with PBE.

Cell and atoms, written as POSCAR:
```
K3AlSn
1.0
6.7062 0.0000 0.0000
0.0000 6.7062 0.0000
0.0000 0.0000 6.7062
Sn K Al
1 3 1
Direct
0.0000 0.0000 0.0000 Sn
0.0000 0.0000 0.5000 K
0.0000 0.5000 0.0000 K
0.5000 0.0000 0.0000 K
0.5000 0.5000 0.5000 Al
```

Output
Fermi-level density of states (states/eV per cell): 6.57
Calculated formation energy (meV per atom): 521.8
Uncorrected energy (Ry per atom): -0.124
ΔE to the lowest computed polymorph (kJ per mole of atoms): 0.0

Record 3
Mg2CoHPt after structural relaxation, computed with PBE.

Cell and atoms, written as POSCAR:
```
Mg2CoHPt
1.0
4.3394 0.0000 0.0000
0.0000 4.3394 0.0000
0.0000 0.0000 3.2632
Pt Mg Co H
1 2 1 1
Direct
0.5000 0.5000 0.5000 Pt
0.0000 0.5000 0.0000 Mg
0.5000 0.0000 0.0000 Mg
0.0000 0.0000 0.5000 Co
0.0000 0.0000 0.0000 H
```

Output
Fermi-level density of states (states/eV per cell): 1.74
Uncorrected energy (Ry per atom): -0.318

| no. | total moment (μB per cell) |
| --- | --- |
| 1 | 0.000 |
| 2 | 0.000 |
| 3 | 0.000 |